Entry 1:
A relaxed structure of CeIn2Te, computed with GGA-PBE.

Unit cell a=3.7524 b=3.7524 c=11.0925 alpha=80.26 beta=80.26 gamma=60.00
Closest atoms and distances in Å follow each position.
Fractional coordinates of all 4 atoms:
Te 0.5000 0.5000 0.5000  6 In 3.09
Ce 0.0000 0.0000 0.0000  2 In 3.24
In 0.0992 0.0992 0.7024  3 Te 3.09, 1 Ce 3.24
In 0.9008 0.9008 0.2976  3 Te 3.09, 1 Ce 3.24

For the volume, the calculation gives 133 Å³/cell. The calculation puts the formation energy without anion corrections at 12.8 kJ per mole of atoms. The space-group type is R-3m, No. 166. The total DFT energy (no corrections) comes out at -3.505 eV per atom.

Entry 2:
A relaxed structure of Ce5InTe4, computed with GGA-PBE.

Unit cell a=6.3568 b=7.7945 c=7.7945 alpha=80.43 beta=65.94 gamma=65.94
Closest atoms and distances in Å follow each position.
Fractional coordinates of all 10 atoms:
Ce 0.9003 0.4011 0.8001  5 Te 3.17-3.18, 1 In 3.19
Ce 0.3014 0.8001 0.5989  5 Te 3.17-3.18, 1 In 3.19
Ce 0.7004 0.1999 0.4011  5 Te 3.17-3.18, 1 In 3.19
Ce 0.1015 0.5989 0.1999  5 Te 3.17-3.18, 1 In 3.19
Ce 0.5014 0.0000 0.0000  2 In 3.18, 4 Te 3.18
In 0.0015 0.0000 0.0000  6 Ce 3.18-3.19
Te 0.4011 0.4001 0.7996  6 Ce 3.17-3.18
Te 0.8012 0.7996 0.5999  6 Ce 3.17-3.18
Te 0.2007 0.2004 0.4001  6 Ce 3.17-3.18
Te 0.6007 0.5999 0.2004  6 Ce 3.17-3.18

For the volume, the calculation gives 322 Å³/cell. The calculation puts the formation energy without anion corrections at -108.5 kJ per mole of atoms. The space-group type is I4/m, No. 87. The total DFT energy (no corrections) comes out at -5.622 eV per atom.

Entry 3:
A relaxed structure of Ce4InTe3, computed with GGA-PBE.

Unit cell a=7.7505 b=7.8225 c=9.0311 alpha=90.00 beta=90.00 gamma=109.64
Closest atoms and distances in Å follow each position.
Fractional coordinates of all 16 atoms:
Te 0.7500 0.0000 0.3753  6 Ce 3.17-3.18
Te 0.2500 0.0000 0.6247  6 Ce 3.17-3.18
Te 0.7500 0.5000 0.6248  6 Ce 3.19
Te 0.7500 0.5000 0.1250  6 Ce 3.18-3.19
Te 0.2500 0.5000 0.3752  6 Ce 3.19
Te 0.2500 0.5000 0.8750  6 Ce 3.18-3.19
Ce 0.0002 0.2491 0.6255  1 In 3.17, 5 Te 3.17-3.19
Ce 0.4990 0.2500 0.8750  4 Te 3.18-3.19, 2 In 3.19
Ce 0.5002 0.2491 0.3745  1 In 3.17, 5 Te 3.17-3.19
Ce 0.9990 0.2500 0.1250  4 Te 3.18-3.19, 2 In 3.19
Ce 0.0010 0.7500 0.8750  4 Te 3.18-3.19, 2 In 3.19
Ce 0.4998 0.7509 0.6255  1 In 3.17, 5 Te 3.17-3.19
Ce 0.5010 0.7500 0.1250  4 Te 3.18-3.19, 2 In 3.19
Ce 0.9998 0.7509 0.3745  1 In 3.17, 5 Te 3.17-3.19
In 0.7500 0.0000 0.8741  6 Ce 3.17-3.19
In 0.2500 0.0000 0.1259  6 Ce 3.17-3.19

For the volume, the calculation gives 516 Å³/cell. The calculation puts the formation energy without anion corrections at -101.5 kJ per mole of atoms. The space-group type is P2/c, No. 13. The total DFT energy (no corrections) comes out at -5.539 eV per atom.

Entry 4:
A relaxed structure of Ce2InTe3, computed with GGA-PBE.

Unit cell a=3.9972 b=5.5553 c=9.5880 alpha=106.84 beta=102.03 gamma=90.00
Closest atoms and distances in Å follow each position.
Fractional coordinates of all 6 atoms:
Ce 0.6468 0.6468 0.2936  7 Te 3.17-3.46
Ce 0.3532 0.3532 0.7064  7 Te 3.17-3.46
In 0.0000 0.0000 0.0000  2 Te 2.78
Te 0.0000 0.5000 0.0000  2 In 2.78
Te 0.8239 0.8239 0.6478  1 In 3.15, 5 Ce 3.17-3.46
Te 0.1761 0.1761 0.3522  1 In 3.15, 5 Ce 3.17-3.46

For the volume, the calculation gives 199 Å³/cell. The calculation puts the formation energy without anion corrections at -81.1 kJ per mole of atoms. The space-group type is Immm, No. 71. The total DFT energy (no corrections) comes out at -4.845 eV per atom.

Entry 5:
A relaxed structure of CeIn3Te4, computed with GGA-PBE.

Unit cell a=4.4716 b=4.4716 c=15.9446 alpha=81.94 beta=81.94 gamma=60.00
Closest atoms and distances in Å follow each position.
Fractional coordinates of all 8 atoms:
Te 0.6276 0.6276 0.1171  3 Ce 3.17, 3 In 3.47
Te 0.8704 0.8704 0.3887  6 In 3.12-3.24
Te 0.3724 0.3724 0.8829  3 Ce 3.17, 3 In 3.47
Te 0.1296 0.1296 0.6113  6 In 3.12-3.24
Ce 0.0000 0.0000 0.0000  6 Te 3.17
In 0.7549 0.7549 0.7354  6 Te 3.24-3.47
In 0.5000 0.5000 0.5000  6 Te 3.12
In 0.2451 0.2451 0.2646  6 Te 3.24-3.47

For the volume, the calculation gives 272 Å³/cell. The calculation puts the formation energy without anion corrections at -55.8 kJ per mole of atoms. The space-group type is R-3m, No. 166. The total DFT energy (no corrections) comes out at -3.918 eV per atom.

Entry 6:
A relaxed structure of Ce3In2Te6, computed with GGA-PBE.

Unit cell a=7.8303 b=7.8282 c=8.4649 alpha=81.16 beta=72.10 gamma=59.99
Closest atoms and distances in Å follow each position.
Fractional coordinates of all 11 atoms:
Ce 0.0000 0.0000 0.0000  6 Te 3.15-3.17
Ce 0.3341 0.3317 0.0000  6 Te 3.15-3.17
Ce 0.6659 0.6683 0.0000  6 Te 3.15-3.17
In 0.1671 0.6658 0.5000  6 Te 3.43
In 0.8329 0.3342 0.5000  6 Te 3.43
Te 0.4070 0.6640 0.7788  3 Ce 3.15-3.17, 2 In 3.43
Te 0.7433 0.0000 0.7774  3 Ce 3.15-3.17, 2 In 3.43
Te 0.0709 0.3360 0.7788  3 Ce 3.15-3.17, 2 In 3.43
Te 0.2567 0.0000 0.2226  3 Ce 3.15-3.17, 2 In 3.43
Te 0.5930 0.3360 0.2212  3 Ce 3.15-3.17, 2 In 3.43
Te 0.9291 0.6640 0.2212  3 Ce 3.15-3.17, 2 In 3.43

For the volume, the calculation gives 428 Å³/cell. The calculation puts the formation energy without anion corrections at -96.8 kJ per mole of atoms. The space-group type is C2/m, No. 12. The total DFT energy (no corrections) comes out at -4.833 eV per atom.

Entry 7:
A relaxed structure of CeY2In3Te6, computed with GGA-PBE.

Unit cell a=7.7280 b=7.7280 c=8.5150 alpha=98.70 beta=98.70 gamma=119.98
Closest atoms and distances in Å follow each position.
Fractional coordinates of all 12 atoms:
Ce 0.0000 0.0000 0.0000  6 Te 3.18-3.19
Y 0.3332 0.6668 0.0000  6 Te 3.11-3.12
Y 0.6668 0.3332 0.0000  6 Te 3.11-3.12
In 0.1654 0.8346 0.5000  6 Te 3.39-3.45
In 0.8346 0.1654 0.5000  6 Te 3.39-3.45
In 0.5000 0.5000 0.5000  6 Te 3.39-3.45
Te 0.9260 0.5848 0.7781  2 Y 3.12, 1 Ce 3.19, 3 In 3.39-3.45
Te 0.7321 0.7321 0.2198  2 Y 3.11, 1 Ce 3.18, 3 In 3.39-3.45
Te 0.0740 0.4152 0.2219  2 Y 3.12, 1 Ce 3.19, 3 In 3.39-3.45
Te 0.5848 0.9260 0.7781  2 Y 3.12, 1 Ce 3.19, 3 In 3.39-3.45
Te 0.2679 0.2679 0.7802  2 Y 3.11, 1 Ce 3.18, 3 In 3.39-3.45
Te 0.4152 0.0740 0.2219  2 Y 3.12, 1 Ce 3.19, 3 In 3.39-3.45

For the volume, the calculation gives 420 Å³/cell. The calculation puts the formation energy without anion corrections at -92.6 kJ per mole of atoms. The space-group type is C2/m, No. 12. The total DFT energy (no corrections) comes out at -4.787 eV per atom.

Entry 8:
A relaxed structure of CeTh4In, computed with GGA-PBE.

Unit cell a=6.6344 b=11.3243 c=8.2461 alpha=133.37 beta=113.72 gamma=90.00
Closest atoms and distances in Å follow each position.
Fractional coordinates of all 12 atoms:
Ce 0.5000 0.5000 0.0000  6 Th 3.28-3.37
Ce 0.5000 0.0000 0.0000  6 Th 3.28-3.37
Th 0.8281 0.8339 0.6562  1 Ce 3.28, 2 In 3.32, 5 Th 3.44-3.67
Th 0.1733 0.6730 0.8460  1 In 3.27, 5 Th 3.31-3.47, 2 Ce 3.37
Th 0.6727 0.6730 0.8460  1 In 3.27, 5 Th 3.31-3.47, 2 Ce 3.37
Th 0.8281 0.3223 0.6562  1 Ce 3.28, 2 In 3.32, 5 Th 3.44-3.67
Th 0.1719 0.6777 0.3438  1 Ce 3.28, 2 In 3.32, 5 Th 3.44-3.67
Th 0.8267 0.3270 0.1540  1 In 3.27, 5 Th 3.31-3.47, 2 Ce 3.37
Th 0.3273 0.3270 0.1540  1 In 3.27, 5 Th 3.31-3.47, 2 Ce 3.37
Th 0.1719 0.1661 0.3438  1 Ce 3.28, 2 In 3.32, 5 Th 3.44-3.67
In 0.5000 0.0000 0.5000  6 Th 3.27-3.32, 2 In 3.32
In 0.0000 0.0000 0.5000  6 Th 3.27-3.32, 2 In 3.32

As for the distance to the lowest polymorph of the same formula: 188.6 meV/atom. For the volume, the calculation gives 375 Å³/cell. The space-group type is Imma, No. 74. The total DFT energy (no corrections) comes out at -6.260 eV per atom. The value obtained for the formation energy is 0.13 eV/atom.

Entry 9:
A relaxed structure of Ce4Th2In3, computed with GGA-PBE.

Unit cell a=4.7386 b=7.6447 c=7.7814 alpha=109.58 beta=107.73 gamma=90.00
Closest atoms and distances in Å follow each position.
Fractional coordinates of all 9 atoms:
Ce 0.5659 0.3520 0.1317  1 Ce 2.85
Ce 0.7525 0.6345 0.5050  3 Ce 2.85-3.12
Ce 0.4341 0.6480 0.8683  1 Ce 2.85
Ce 0.2475 0.3655 0.4950  3 Ce 2.85-3.12
Th 0.3359 0.9922 0.6718  5 In 3.36-3.43, 5 Ce 3.43-3.55, 2 Th 3.51
Th 0.6641 0.0078 0.3282  5 In 3.36-3.43, 5 Ce 3.43-3.55, 2 Th 3.51
In 0.8952 0.3256 0.7904  2 In 3.31-3.37, 7 Ce 3.31-3.68, 3 Th 3.36-3.43
In 0.1048 0.6744 0.2096  2 In 3.31-3.37, 7 Ce 3.31-3.68, 3 Th 3.36-3.43
In 0.0000 0.0000 0.0000  2 In 3.37, 4 Th 3.38, 6 Ce 3.46-3.75

As for the distance to the lowest polymorph of the same formula: 0.0 meV/atom. For the volume, the calculation gives 251 Å³/cell. The space-group type is C2/m, No. 12. The total DFT energy (no corrections) comes out at -5.387 eV per atom. The value obtained for the formation energy is -0.19 eV/atom.

Entry 10:
A relaxed structure of Ce2Th2In, computed with GGA-PBE.

Unit cell a=6.6642 b=6.1246 c=8.8958 alpha=110.30 beta=113.26 gamma=62.73
Closest atoms and distances in Å follow each position.
Fractional coordinates of all 10 atoms:
Ce 0.7445 0.8601 0.6860  1 Ce 2.84
Ce 0.2868 0.9590 0.9802  2 Ce 2.84-2.97
Ce 0.2555 0.1399 0.3140  1 Ce 2.84
Ce 0.7132 0.0410 0.0198  2 Ce 2.84-2.97
Th 0.2385 0.5866 0.1513  5 Ce 3.23-3.52, 3 Th 3.39-3.59, 3 In 3.42-3.47
Th 0.2407 0.7358 0.5564  3 In 3.36-3.48, 4 Th 3.39-3.59, 4 Ce 3.44-3.60
Th 0.7593 0.2642 0.4436  3 In 3.36-3.48, 4 Th 3.39-3.59, 4 Ce 3.44-3.60
Th 0.7615 0.4134 0.8487  5 Ce 3.23-3.52, 3 Th 3.39-3.59, 3 In 3.42-3.47
In 0.7595 0.6616 0.2580  5 Ce 3.33-3.60, 6 Th 3.36-3.48
In 0.2405 0.3384 0.7420  5 Ce 3.33-3.60, 6 Th 3.36-3.48

As for the distance to the lowest polymorph of the same formula: 0.0 meV/atom. For the volume, the calculation gives 290 Å³/cell. The space-group type is P-1, No. 2. The total DFT energy (no corrections) comes out at -5.974 eV per atom. The value obtained for the formation energy is -0.08 eV/atom.

Entry 11:
A relaxed structure of Ce4Th2In3, computed with GGA-PBE.

Unit cell a=5.3934 b=6.2715 c=9.7811 alpha=122.91 beta=90.00 gamma=115.47
Closest atoms and distances in Å follow each position.
Fractional coordinates of all 9 atoms:
Ce 0.7354 0.4708 0.0559  3 Ce 3.00-3.02, 2 Th 3.18-3.26, 1 In 3.35
Ce 0.2646 0.5292 0.9441  3 Ce 3.00-3.02, 2 Th 3.18-3.26, 1 In 3.35
Ce 0.9597 0.9194 0.6057  2 Ce 2.72-3.02
Ce 0.0403 0.0806 0.3943  2 Ce 2.72-3.02
Th 0.6119 0.2238 0.2738  5 Ce 3.18-3.27, 5 In 3.45-3.48
Th 0.3881 0.7762 0.7262  5 Ce 3.18-3.27, 5 In 3.45-3.48
In 0.6708 0.3417 0.6660  2 In 3.15-3.22, 7 Ce 3.41-3.51, 3 Th 3.45-3.48
In 0.0000 0.0000 0.0000  2 In 3.15, 2 Ce 3.35, 4 Th 3.46
In 0.3292 0.6583 0.3340  2 In 3.15-3.22, 7 Ce 3.41-3.51, 3 Th 3.45-3.48

As for the distance to the lowest polymorph of the same formula: 66.7 meV/atom. For the volume, the calculation gives 239 Å³/cell. The space-group type is C2/m, No. 12. The total DFT energy (no corrections) comes out at -5.320 eV per atom. The value obtained for the formation energy is -0.12 eV/atom.